Below is a relaxed structure of Lu3PN2, with properties calculated at the PBE level.

Summary:
The crystal system is trigonal. The value obtained for the excess energy over the best structure of this formula in the dataset is 0.0 kJ per mole of atoms.

Cell: 3.4857 3.4857 8.8622 Å, 90.00 90.00 120.00°
Space group P-3m1 (No. 164)
Asymmetric unit:
Lu  0.0000  0.0000  0.0000 (multiplicity 1)
Lu  0.3333  0.6667  0.6995 (multiplicity 2)
P  0.0000  0.0000  0.5000 (multiplicity 1)
N  0.3333  0.6667  0.1525 (multiplicity 2)